{
  "formula": "FeIrI2O",
  "functional": "GGA+U",
  "state": "relaxed",
  "lattice": [[5.420, 0.000, 0.000], [0.000, 5.420, 0.000], [0.000, 0.000, 3.539]],
  "species": ["Fe", "Ir", "I", "I", "O"],
  "fractional_positions": [[0.000, 0.000, 0.000], [0.500, 0.500, 0.500], [0.000, 0.500, 0.000], [0.500, 0.000, 0.000], [0.000, 0.000, 0.500]],
  "n_ef_per_ev_atom": 0.816,
  "total_energy_ev_per_atom": -4.0169,
  "crystal_system": "tetragonal"
}